(1)
## Ho2AlZnGa (PBE-GGA)

Data for an optimized crystal structure of Ho2AlZnGa.

## Properties
- E_form (meV per atom) = -416

abc: 4.400 7.096 7.306
angles: 107.33 90.00 90.00
Atoms (fractional coordinates):
Ho (0.750, 0.863, 0.620)
Ho (0.750, 0.693, 0.059)
Ho (0.250, 0.137, 0.380)
Ho (0.250, 0.307, 0.941)
Al (0.250, 0.653, 0.341)
Al (0.750, 0.347, 0.659)
Zn (0.250, 0.907, 0.935)
Zn (0.750, 0.093, 0.065)
Ga (0.250, 0.569, 0.691)
Ga (0.750, 0.431, 0.309)



(2)
## LiSbAu4 (PBE-GGA)

Data for an optimized crystal structure of LiSbAu4.

## Properties
- E above lowest polymorph (meV/atom) = 43
- ΔE_f (raw) (meV per atom) = -136.6

abc: 5.578 5.578 5.578
angles: 60.00 60.00 60.00
Atoms (fractional coordinates):
Li (0.750, 0.750, 0.750)
Sb (0.000, 0.000, 0.000)
Au (0.874, 0.375, 0.375)
Au (0.375, 0.375, 0.874)
Au (0.375, 0.874, 0.375)
Au (0.375, 0.375, 0.375)



(3)
## LuMgRu (PBE-GGA)

Data for an optimized crystal structure of LuMgRu.

## Properties
- E_form (meV per atom) = -114

abc: 3.318 4.509 4.509
angles: 120.00 90.00 90.00
Atoms (fractional coordinates):
Ru (0.064, 0.000, 0.000)
Mg (0.240, 0.667, 0.333)
Lu (0.696, 0.333, 0.667)



(4)
## Mg2Cu3Se (PBE-GGA)

Data for an optimized crystal structure of Mg2Cu3Se.

## Properties
- E above lowest polymorph (meV/atom) = 222
- ΔE_f (raw) (meV per atom) = -50.2

abc: 5.053 5.053 8.177
angles: 90.00 90.00 87.64
Atoms (fractional coordinates):
Mg (0.237, 0.237, 0.000)
Mg (0.763, 0.763, 0.500)
Mg (0.763, 0.763, 0.000)
Mg (0.237, 0.237, 0.500)
Cu (0.921, 0.079, 0.250)
Cu (0.079, 0.921, 0.750)
Cu (0.062, 0.589, 0.250)
Cu (0.938, 0.411, 0.750)
Cu (0.411, 0.938, 0.250)
Cu (0.589, 0.062, 0.750)
Se (0.560, 0.440, 0.250)
Se (0.440, 0.560, 0.750)



(5)
## Ca2HgSbI (PBE-GGA)

Data for an optimized crystal structure of Ca2HgSbI.

## Properties
- ΔE_f (raw) (meV per atom) = 56.1

abc: 5.888 5.944 5.888
angles: 90.00 90.00 90.00
Atoms (fractional coordinates):
I (0.000, 0.000, 0.000)
Sb (0.000, 0.500, 0.000)
Ca (0.000, 0.000, 0.500)
Ca (0.500, 0.000, 0.000)
Hg (0.500, 0.500, 0.500)



(6)
## Na6Bi2Br (PBE-GGA)

Data for an optimized crystal structure of Na6Bi2Br.

## Properties
- ΔE_f (raw) (meV per atom) = -536.9

abc: 8.820 8.820 8.243
angles: 89.91 89.91 119.66
Atoms (fractional coordinates):
Na (0.661, 0.670, 0.228)
Na (0.330, 0.339, 0.272)
Na (0.339, 0.330, 0.772)
Na (0.670, 0.661, 0.728)
Na (0.001, 0.515, 0.292)
Na (0.485, 0.999, 0.208)
Na (0.999, 0.485, 0.708)
Na (0.515, 0.001, 0.792)
Na (0.220, 0.950, 0.513)
Na (0.050, 0.780, 0.987)
Na (0.780, 0.050, 0.487)
Na (0.950, 0.220, 0.013)
Bi (0.323, 0.635, 0.999)
Bi (0.365, 0.677, 0.501)
Bi (0.677, 0.365, 0.001)
Bi (0.635, 0.323, 0.499)
Br (0.006, 0.994, 0.250)
Br (0.994, 0.006, 0.750)



(7)
## La3Al4Au4 (PBE-GGA)

Data for an optimized crystal structure of La3Al4Au4.

## Properties
- E_form (meV per atom) = -748

abc: 4.415 4.307 13.809
angles: 98.97 99.20 90.00
Atoms (fractional coordinates):
La (0.350, 0.850, 0.700)
La (0.650, 0.150, 0.300)
La (0.000, 0.000, 0.000)
Al (0.250, 0.250, 0.501)
Al (0.100, 0.600, 0.201)
Al (0.900, 0.400, 0.799)
Al (0.750, 0.750, 0.499)
Au (0.804, 0.304, 0.608)
Au (0.447, 0.447, 0.895)
Au (0.553, 0.553, 0.105)
Au (0.196, 0.696, 0.392)



(8)
## Tl2AsPd (PBE-GGA)

Data for an optimized crystal structure of Tl2AsPd.

## Properties
- E above lowest polymorph (meV/atom) = 0
- E_form (meV per atom) = -172

abc: 4.263 4.274 7.302
angles: 73.09 73.03 60.08
Atoms (fractional coordinates):
Tl (0.904, 0.667, 0.526)
Tl (0.701, 0.464, 0.134)
As (0.468, 0.232, 0.833)
Pd (0.138, 0.899, 0.825)



How do the records compare in uncorrected energy? In the order shown, they have -3.856 -3.328 -5.244 -3.211 -1.939 -2.465 -4.645 -3.816 eV per atom.
How do the records compare in total moment? In the order shown, they have 0.00 0.00 0.00 0.00 0.00 0.00 0.00 0.00 μB/f.u..
How do the records compare in density? In the order shown, they have 7.50 12.40 8.54 5.06 4.27 3.79 8.51 9.02 Mg/m³.